The following is a PBE calculation of Ca3YTl4 after structural relaxation, from the Alexandria database.

Values from the calculation:
**Energy**: -25.329 eV/cell
**Symmetry**: No. 123
**Energy of formation from the pure elements**: -0.42 eV per atom
**Crystal system**: tetragonal

Cell lengths 3.8376, 3.8376, 15.6836 Å; angles 90.00, 90.00, 90.00 degrees
Atoms (fractional coordinates):
Tl1 0.0000 0.0000 0.1217
Tl2 0.0000 0.0000 0.6268
Tl3 0.0000 0.0000 0.3732
Tl4 0.0000 0.0000 0.8783
Ca1 0.5000 0.5000 0.5000
Ca2 0.5000 0.5000 0.7521
Ca3 0.5000 0.5000 0.2479
Y1 0.5000 0.5000 0.0000

=====

The following is a PBE calculation of CaY2Tl after structural relaxation, from the Alexandria database.

Values from the calculation:
**Relative energy among the computed polymorphs**: 0.065 eV/atom
**Energy**: -17.817 eV/cell
**Symmetry**: No. 6
**Energy of formation from the pure elements**: -0.13 eV per atom
**Crystal system**: monoclinic

Cell lengths 4.9901, 3.6350, 7.4307 Å; angles 67.26, 90.00, 90.00 degrees
Atoms (fractional coordinates):
Y1 0.0000 0.9449 0.9941
Y2 0.5000 0.2549 0.2356
Ca1 0.0000 0.5418 0.5139
Tl1 0.5000 0.7585 0.7564

=====

The following is a PBE calculation of Ca3YTl12 after structural relaxation, from the Alexandria database.

Values from the calculation:
**Energy**: -44.591 eV/cell
**Symmetry**: No. 123
**Energy of formation from the pure elements**: -0.23 eV per atom
**Crystal system**: tetragonal

Cell lengths 4.8679, 4.8679, 19.1307 Å; angles 90.00, 90.00, 90.00 degrees
Atoms (fractional coordinates):
Tl1 0.5000 0.0000 0.3740
Tl2 0.5000 0.5000 0.0000
Tl3 0.5000 0.5000 0.5000
Tl4 0.0000 0.5000 0.6260
Tl5 0.5000 0.0000 0.1226
Tl6 0.0000 0.5000 0.3740
Tl7 0.0000 0.5000 0.8774
Tl8 0.5000 0.0000 0.8774
Tl9 0.5000 0.5000 0.2488
Tl10 0.5000 0.0000 0.6260
Tl11 0.0000 0.5000 0.1226
Tl12 0.5000 0.5000 0.7512
Ca1 0.0000 0.0000 0.7535
Ca2 0.0000 0.0000 0.5000
Ca3 0.0000 0.0000 0.2465
Y1 0.0000 0.0000 0.0000

=====

The following is a PBE calculation of Ca2YTl after structural relaxation, from the Alexandria database.

Values from the calculation:
**Relative energy among the computed polymorphs**: 0.062 eV/atom
**Energy**: -13.329 eV/cell
**Symmetry**: No. 25
**Energy of formation from the pure elements**: -0.12 eV per atom
**Crystal system**: orthorhombic

Cell lengths 3.6509, 4.7927, 7.4052 Å; angles 90.00, 90.00, 90.00 degrees
Atoms (fractional coordinates):
Ca1 0.5000 0.5000 0.2750
Ca2 0.0000 0.0000 0.9875
Y1 0.5000 0.5000 0.7215
Tl1 0.0000 0.0000 0.5159

=====

The following is a PBE calculation of Ca2YTl after structural relaxation, from the Alexandria database.

Values from the calculation:
**Relative energy among the computed polymorphs**: 0.180 eV/atom
**Energy**: -12.855 eV/cell
**Symmetry**: No. 225
**Energy of formation from the pure elements**: -0.01 eV per atom
**Crystal system**: cubic

Cell lengths 5.6664, 5.6664, 5.6664 Å; angles 60.00, 60.00, 60.00 degrees
Atoms (fractional coordinates):
Tl1 0.5000 0.5000 0.5000
Ca1 0.7500 0.7500 0.7500
Ca2 0.2500 0.2500 0.2500
Y1 0.0000 0.0000 0.0000

=====

The following is a PBE calculation of Ca2YTl after structural relaxation, from the Alexandria database.

Values from the calculation:
**Relative energy among the computed polymorphs**: 0.080 eV/atom
**Energy**: -13.255 eV/cell
**Symmetry**: No. 123
**Energy of formation from the pure elements**: -0.11 eV per atom
**Crystal system**: tetragonal

Cell lengths 4.1960, 4.1960, 7.3426 Å; angles 90.00, 90.00, 90.00 degrees
Atoms (fractional coordinates):
Ca1 0.0000 0.0000 0.0159
Ca2 0.0000 0.0000 0.4841
Tl1 0.5000 0.5000 0.2500
Y1 0.5000 0.5000 0.7500

=====

The following is a PBE calculation of Ca2YTl after structural relaxation, from the Alexandria database.

Values from the calculation:
**Relative energy among the computed polymorphs**: 0.112 eV/atom
**Energy**: -13.128 eV/cell
**Symmetry**: No. 166
**Energy of formation from the pure elements**: -0.07 eV per atom
**Crystal system**: trigonal

Cell lengths 11.5751, 11.5751, 11.5751 Å; angles 18.49, 18.49, 18.49 degrees
Site moments in Bohr magnetons follow the coordinates.
Atoms (fractional coordinates):
Ca1 0.9917 0.9917 0.9917  0.01
Ca2 0.5083 0.5083 0.5083  0.01
Tl1 0.2500 0.2500 0.2500  0.00
Y1 0.7500 0.7500 0.7500  0.09

=====

The following is a PBE calculation of CaY2Tl after structural relaxation, from the Alexandria database.

Values from the calculation:
**Relative energy among the computed polymorphs**: 0.000 eV/atom
**Energy**: -18.078 eV/cell
**Symmetry**: No. 71
**Energy of formation from the pure elements**: -0.20 eV per atom
**Crystal system**: orthorhombic

Cell lengths 6.8514, 6.8514, 5.5334 Å; angles 66.17, 66.17, 32.44 degrees
Atoms (fractional coordinates):
Ca1 0.2500 0.2500 0.2500
Y1 0.4653 0.4653 0.5347
Y2 0.0347 0.0347 0.9653
Tl1 0.7500 0.7500 0.7500

=====

The following is a PBE calculation of Ca2YTl after structural relaxation, from the Alexandria database.

Values from the calculation:
**Relative energy among the computed polymorphs**: 0.047 eV/atom
**Energy**: -13.387 eV/cell
**Symmetry**: No. 123
**Energy of formation from the pure elements**: -0.14 eV per atom
**Crystal system**: tetragonal

Cell lengths 3.6469, 3.6470, 9.9364 Å; angles 90.00, 90.00, 90.05 degrees
Site moments in Bohr magnetons follow the coordinates.
Atoms (fractional coordinates):
Ca1 0.0000 0.0000 0.4662  0.00
Ca2 0.0000 0.0000 0.0338  0.00
Y1 0.5000 0.5000 0.7500  0.08
Tl1 0.5000 0.5000 0.2500  0.00

=====

The following is a PBE calculation of Ca2YTl after structural relaxation, from the Alexandria database.

Values from the calculation:
**Relative energy among the computed polymorphs**: 0.014 eV/atom
**Energy**: -13.520 eV/cell
**Symmetry**: No. 99
**Energy of formation from the pure elements**: -0.17 eV per atom
**Crystal system**: tetragonal

Cell lengths 3.7556, 3.7556, 9.6715 Å; angles 90.00, 90.00, 90.00 degrees
Site moments in Bohr magnetons follow the coordinates.
Atoms (fractional coordinates):
Y1 0.5000 0.5000 0.7054  0.10
Ca1 0.0000 0.0000 0.9879  0.01
Ca2 0.5000 0.5000 0.2989  0.00
Tl1 0.0000 0.0000 0.5079  0.00

=====

The following is a PBE calculation of Ca2YTl6 after structural relaxation, from the Alexandria database.

Values from the calculation:
**Energy**: -53.612 eV/cell
**Symmetry**: No. 136
**Energy of formation from the pure elements**: -0.24 eV per atom
**Crystal system**: tetragonal

Cell lengths 5.4773, 9.7661, 9.7669 Å; angles 90.00, 90.00, 90.00 degrees
Atoms (fractional coordinates):
Tl1 0.5000 0.5424 0.3419
Tl2 0.5000 0.1581 0.9574
Tl3 0.0000 0.3419 0.4574
Tl4 0.5000 0.4576 0.6581
Tl5 0.0000 0.6581 0.5426
Tl6 0.5000 0.8719 0.3720
Tl7 0.0000 0.0424 0.1581
Tl8 0.5000 0.1281 0.6280
Tl9 0.0000 0.3719 0.1280
Tl10 0.0000 0.9576 0.8419
Tl11 0.5000 0.8419 0.0426
Tl12 0.0000 0.6281 0.8720
Ca1 0.5000 0.7904 0.7097
Ca2 0.0000 0.7096 0.2097
Ca3 0.0000 0.2904 0.7903
Ca4 0.5000 0.2096 0.2903
Y1 0.0000 0.0000 0.5000
Y2 0.5000 0.5000 0.0000

=====

The following is a PBE calculation of CaY2Tl after structural relaxation, from the Alexandria database.

Values from the calculation:
**Relative energy among the computed polymorphs**: 0.105 eV/atom
**Energy**: -17.659 eV/cell
**Symmetry**: No. 139
**Energy of formation from the pure elements**: -0.09 eV per atom
**Crystal system**: tetragonal

Cell lengths 5.9817, 5.9817, 5.9817 Å; angles 130.73, 130.73, 72.25 degrees
Site moments in Bohr magnetons follow the coordinates.
Atoms (fractional coordinates):
Y1 0.0000 0.0000 0.0000  0.17
Y2 0.5000 0.5000 0.0000  0.17
Tl1 0.7500 0.2500 0.5000  0.00
Ca1 0.2500 0.7500 0.5000  0.02

=====

The following is a PBE calculation of CaY2Tl after structural relaxation, from the Alexandria database.

Values from the calculation:
**Relative energy among the computed polymorphs**: 0.062 eV/atom
**Energy**: -17.831 eV/cell
**Symmetry**: No. 44
**Energy of formation from the pure elements**: -0.13 eV per atom
**Crystal system**: orthorhombic

Cell lengths 6.7451, 6.7451, 5.4678 Å; angles 66.08, 66.08, 33.61 degrees
Atoms (fractional coordinates):
Tl1 0.7487 0.7487 0.7512
Y1 0.2538 0.2538 0.2463
Y2 0.0270 0.0270 0.9730
Ca1 0.4705 0.4705 0.5296

=====

The following is a PBE calculation of Ca2YTl after structural relaxation, from the Alexandria database.

Values from the calculation:
**Relative energy among the computed polymorphs**: 0.076 eV/atom
**Energy**: -13.273 eV/cell
**Symmetry**: No. 47
**Energy of formation from the pure elements**: -0.11 eV per atom
**Crystal system**: orthorhombic

Cell lengths 3.6423, 5.0922, 6.9442 Å; angles 90.00, 90.00, 90.00 degrees
Atoms (fractional coordinates):
Y1 0.5000 0.5000 0.7500
Ca1 0.0000 0.0000 0.0134
Ca2 0.0000 0.0000 0.4866
Tl1 0.5000 0.5000 0.2500

=====

The following is a PBE calculation of CaY2Tl after structural relaxation, from the Alexandria database.

Values from the calculation:
**Relative energy among the computed polymorphs**: 0.067 eV/atom
**Energy**: -17.809 eV/cell
**Symmetry**: No. 25
**Energy of formation from the pure elements**: -0.13 eV per atom
**Crystal system**: orthorhombic

Cell lengths 3.6148, 4.9057, 6.9477 Å; angles 90.00, 90.00, 90.00 degrees
Atoms (fractional coordinates):
Y1 0.0000 0.0000 0.9945
Y2 0.5000 0.5000 0.2360
Tl1 0.5000 0.5000 0.7577
Ca1 0.0000 0.0000 0.5119

=====

The following is a PBE calculation of CaY2Tl4 after structural relaxation, from the Alexandria database.

Values from the calculation:
**Energy**: -26.064 eV/cell
**Symmetry**: No. 139
**Energy of formation from the pure elements**: -0.24 eV per atom
**Crystal system**: tetragonal

Cell lengths 5.2997, 5.2997, 8.4087 Å; angles 108.37, 108.37, 90.00 degrees
Site moments in Bohr magnetons follow the coordinates.
Atoms (fractional coordinates):
Ca1 0.0000 0.0000 0.0000  0.00
Y1 0.2502 0.2502 0.5004  0.09
Y2 0.7498 0.7498 0.4996  0.09
Tl1 0.8808 0.3808 0.7615  0.00
Tl2 0.3808 0.8808 0.7615  0.00
Tl3 0.1192 0.6192 0.2385  0.00
Tl4 0.6192 0.1192 0.2385  0.00

=====

The following is a PBE calculation of Ca2YTl after structural relaxation, from the Alexandria database.

Values from the calculation:
**Relative energy among the computed polymorphs**: 0.032 eV/atom
**Energy**: -13.450 eV/cell
**Symmetry**: No. 44
**Energy of formation from the pure elements**: -0.15 eV per atom
**Crystal system**: orthorhombic

Cell lengths 6.8988, 6.8988, 5.6799 Å; angles 65.71, 65.71, 33.13 degrees
Atoms (fractional coordinates):
Y1 0.2117 0.2117 0.2883
Tl1 0.5039 0.5039 0.4963
Ca1 0.7860 0.7860 0.7140
Ca2 0.9985 0.9985 0.0015

=====

The following is a PBE calculation of Ca2YTl after structural relaxation, from the Alexandria database.

Values from the calculation:
**Relative energy among the computed polymorphs**: 0.105 eV/atom
**Energy**: -13.156 eV/cell
**Symmetry**: No. 160
**Energy of formation from the pure elements**: -0.08 eV per atom
**Crystal system**: trigonal

Cell lengths 3.7423, 3.7423, 11.4447 Å; angles 80.59, 80.59, 60.00 degrees
Site moments in Bohr magnetons follow the coordinates.
Atoms (fractional coordinates):
Tl1 0.6664 0.6664 0.0008  0.01
Ca1 0.2578 0.2578 0.2267  0.02
Ca2 0.0751 0.0751 0.7747  0.02
Y1 0.5007 0.5007 0.4979  0.26

=====

The following is a PBE calculation of CaY2Tl after structural relaxation, from the Alexandria database.

Values from the calculation:
**Relative energy among the computed polymorphs**: 0.106 eV/atom
**Energy**: -17.653 eV/cell
**Symmetry**: No. 10
**Energy of formation from the pure elements**: -0.09 eV per atom
**Crystal system**: monoclinic

Cell lengths 5.2232, 3.6969, 6.9463 Å; angles 72.85, 90.00, 90.00 degrees
Atoms (fractional coordinates):
Y1 0.0000 0.5826 0.5276
Y2 0.0000 0.9174 0.9724
Ca1 0.5000 0.2500 0.2500
Tl1 0.5000 0.7500 0.7500

=====

The following is a PBE calculation of Ca2Y2Tl7 after structural relaxation, from the Alexandria database.

Values from the calculation:
**Energy**: -34.092 eV/cell
**Symmetry**: No. 65
**Energy of formation from the pure elements**: -0.05 eV per atom
**Crystal system**: orthorhombic

Cell lengths 6.9581, 8.3288, 6.9581 Å; angles 90.01, 117.95, 89.99 degrees
Atoms (fractional coordinates):
Tl1 0.4997 0.3146 0.0002
Tl2 0.5003 0.6854 0.9998
Tl3 0.0000 0.0000 0.0000
Tl4 0.9998 0.3146 0.5003
Tl5 0.4998 0.1866 0.5002
Tl6 0.5002 0.8134 0.4998
Tl7 0.0002 0.6854 0.4997
Y1 0.2633 0.0000 0.7367
Y2 0.7367 0.0000 0.2633
Ca1 0.7542 0.5000 0.7542
Ca2 0.2458 0.5000 0.2458